{
  "formula": "FePCl2",
  "functional": "GGA-PBEsol",
  "state": "optimized geometry",
  "cell": [[4.3085, -0.0099, 0.0000], [-0.4706, 4.2828, 0.0000], [-1.9190, -2.1364, 3.7677]],
  "species": ["Cl", "Cl", "P", "Fe"],
  "frac_coords": [[0.5000, 0.0000, 0.5000], [0.0000, 0.5000, 0.5000], [0.0000, 0.0000, 0.0000], [0.5000, 0.5000, 0.0000]],
  "spacegroup": "Fmmm (69)",
  "n_ef_per_ev_cell": 4.5,
  "energy_ev_per_cell": -17.3
}